Entry 1:
BeBiI2N | PBE | optimized geometry

Computed properties:
formation energy from raw total energies = 0.396 eV per atom
volume = 30.0 A^3/atom

abc: 7.0015 7.0015 3.0553
angles: 90.00 90.00 90.00
With the nearest neighbours (Å) after each atom.
Element x y z (fractional)
Be  0.0000  0.0000  0.0000  2 N 1.53
Bi  0.5000  0.5000  0.5000  2 Bi 3.06
I  0.0000  0.5000  0.0000  2 I 3.06
I  0.5000  0.0000  0.0000  2 I 3.06
N  0.0000  0.0000  0.5000  2 Be 1.53

=====

Entry 2:
BeBiI2N | PBE | optimized geometry

Computed properties:
formation energy from raw total energies = 1.215 eV per atom
volume = 34.1 A^3/atom

abc: 6.3181 6.3181 4.2731
angles: 90.00 90.00 90.00
With the nearest neighbours (Å) after each atom.
Element x y z (fractional)
Be  0.0000  0.0000  0.0000  8 I 3.81
Bi  0.5000  0.5000  0.5000  2 N 2.14
I  0.0000  0.5000  0.5000  2 Bi 3.16
I  0.5000  0.0000  0.5000  2 Bi 3.16
N  0.5000  0.5000  0.0000  2 Bi 2.14

=====

Entry 3:
BeBi2OsI | PBE | optimized geometry

Computed properties:
formation energy from raw total energies = 1.423 eV per atom
volume = 23.9 A^3/atom

abc: 4.9032 4.9032 4.9719
angles: 90.00 90.00 90.00
With the nearest neighbours (Å) after each atom.
Element x y z (fractional)
Be  0.0000  0.0000  0.0000  4 Bi 2.45, 2 I 2.49
Bi  0.0000  0.5000  0.0000  2 Be 2.45
Bi  0.5000  0.0000  0.0000  2 Be 2.45
Os  0.5000  0.5000  0.5000  4 I 3.47, 8 Bi 3.49
I  0.0000  0.0000  0.5000  2 Be 2.49

=====

Entry 4:
Rb2BeBiI6 | PBE | optimized geometry

Computed properties:
formation energy from raw total energies = -0.687 eV per atom
volume = 41.3 A^3/atom

abc: 8.3614 8.3614 8.3614
angles: 60.00 60.00 60.00
With the nearest neighbours (Å) after each atom.
Element x y z (fractional)
Rb  0.2500  0.2500  0.2500  12 I 4.19
Rb  0.7500  0.7500  0.7500  12 I 4.19
Be  0.0000  0.0000  0.0000  6 I 2.76
Bi  0.5000  0.5000  0.5000  6 I 3.15
I  0.2335  0.2335  0.7665  1 Be 2.76
I  0.2335  0.7665  0.2335  1 Be 2.76
I  0.2335  0.7665  0.7665  1 Be 2.76
I  0.7665  0.2335  0.2335  1 Be 2.76
I  0.7665  0.2335  0.7665  1 Be 2.76
I  0.7665  0.7665  0.2335  1 Be 2.76

=====

Entry 5:
BeBiS2I | PBE | optimized geometry

Computed properties:
formation energy from raw total energies = 1.329 eV per atom
volume = 31.2 A^3/atom

abc: 5.0379 5.0379 6.1493
angles: 90.00 90.00 90.00
With the nearest neighbours (Å) after each atom.
Element x y z (fractional)
Be  0.0000  0.0000  0.0000  4 Bi 3.56, 8 S 3.97
Bi  0.5000  0.5000  0.0000  2 I 3.07
S  0.0000  0.5000  0.5000  2 I 2.52
S  0.5000  0.0000  0.5000  2 I 2.52
I  0.5000  0.5000  0.5000  4 S 2.52

=====

Entry 6:
BeBiSbI2 | PBE | optimized geometry

Computed properties:
formation energy from raw total energies = 0.867 eV per atom
volume = 47.1 A^3/atom

abc: 6.2067 6.2067 6.1101
angles: 90.00 90.00 90.00
With the nearest neighbours (Å) after each atom.
Element x y z (fractional)
Be  0.0000  0.0000  0.0000  8 I 4.35, 4 Sb 4.39
Bi  0.5000  0.5000  0.5000  2 Sb 3.06, 4 I 3.10
Sb  0.5000  0.5000  0.0000  2 Bi 3.06
I  0.0000  0.5000  0.5000  2 Bi 3.10
I  0.5000  0.0000  0.5000  2 Bi 3.10

=====

| no. | E (eV per atom) |
| --- | --- |
| 1 | -3.410 |
| 2 | -2.592 |
| 3 | -3.430 |
| 4 | -2.571 |
| 5 | -2.154 |
| 6 | -2.099 |